No. 1
First-principles (PBE) data for a relaxed Mn2HgTe crystal, as listed in Alexandria via LeMat-Bulk.

```
data_Mn2HgTe
_chemical_formula_sum 'Mn2 Hg1 Te1'
_symmetry_space_group_name_H-M 'P 1 2/m 1'
_symmetry_Int_Tables_number 10
_cell_length_a 3.186
_cell_length_b 3.842
_cell_length_c 6.907
_cell_angle_alpha 90.00
_cell_angle_beta 91.68
_cell_angle_gamma 90.00
loop_
_symmetry_equiv_pos_as_xyz
'x,y,z'
'-x,-y,-z'
'-x,y,-z'
'x,-y,z'
loop_
_atom_site_label
_atom_site_type_symbol
_atom_site_fract_x
_atom_site_fract_y
_atom_site_fract_z
_atom_site_occupancy
Mn1 Mn 0.012 0.000 0.205 1
Hg1 Hg 0.500 0.500 0.000 1
Te1 Te 0.000 0.500 0.500 1
```

Calculated values
As for the uncorrected formation energy: 1.37 eV/f.u. The crystal system is monoclinic. As for the raw total energy: -20.4 eV per cell. The energy relative to the lowest polymorph listed for this composition comes out at 0.097 eV/atom.

No. 2
First-principles (PBE) data for a relaxed Mn2HgTe2 crystal, as listed in Alexandria via LeMat-Bulk.

```
data_Mn2HgTe2
_chemical_formula_sum 'Mn4 Hg2 Te4'
_symmetry_space_group_name_H-M 'I 4/m m m'
_symmetry_Int_Tables_number 139
_symmetry_space_group_name_Hall '-I 4 2'
_cell_length_a 5.215
_cell_length_b 5.215
_cell_length_c 7.988
_cell_angle_alpha 90.00
_cell_angle_beta 90.00
_cell_angle_gamma 90.00
loop_
_atom_site_label
_atom_site_type_symbol
_atom_site_fract_x
_atom_site_fract_y
_atom_site_fract_z
_atom_site_occupancy
Mn1 Mn 0.000 0.000 0.134 1
Hg1 Hg 0.000 0.000 0.500 1
Te1 Te 0.000 0.500 0.250 1
```

Calculated values
As for the uncorrected formation energy: 1.67 eV/f.u. The crystal system is tetragonal. As for the raw total energy: -46.5 eV per cell. The energy relative to the lowest polymorph listed for this composition comes out at 0.354 eV/atom.

No. 3
First-principles (PBE) data for a relaxed Mn2HgTe crystal, as listed in Alexandria via LeMat-Bulk.

```
data_Mn2HgTe
_chemical_formula_sum 'Mn2 Hg1 Te1'
_symmetry_space_group_name_H-M 'P 4/m m m'
_symmetry_Int_Tables_number 123
_symmetry_space_group_name_Hall '-P 4 2'
_cell_length_a 3.566
_cell_length_b 3.566
_cell_length_c 6.173
_cell_angle_alpha 90.00
_cell_angle_beta 90.00
_cell_angle_gamma 90.00
loop_
_atom_site_label
_atom_site_type_symbol
_atom_site_fract_x
_atom_site_fract_y
_atom_site_fract_z
_atom_site_occupancy
Mn1 Mn 0.000 0.000 0.247 1
Hg1 Hg 0.500 0.500 0.500 1
Te1 Te 0.500 0.500 0.000 1
```

Calculated values
As for the uncorrected formation energy: 1.32 eV/f.u. The crystal system is tetragonal. As for the raw total energy: -20.5 eV per cell. The energy relative to the lowest polymorph listed for this composition comes out at 0.084 eV/atom.

No. 4
First-principles (PBE) data for a relaxed Mn2HgTe crystal, as listed in Alexandria via LeMat-Bulk.

```
data_Mn2HgTe
_chemical_formula_sum 'Mn8 Hg4 Te4'
_symmetry_space_group_name_H-M 'F m -3 m'
_symmetry_Int_Tables_number 225
_symmetry_space_group_name_Hall '-F 4 2 3'
_cell_length_a 6.346
_cell_length_b 6.346
_cell_length_c 6.346
_cell_angle_alpha 90.00
_cell_angle_beta 90.00
_cell_angle_gamma 90.00
loop_
_atom_site_label
_atom_site_type_symbol
_atom_site_fract_x
_atom_site_fract_y
_atom_site_fract_z
_atom_site_occupancy
Mn1 Mn 0.250 0.250 0.250 1
Hg1 Hg 0.000 0.000 0.000 1
Te1 Te 0.000 0.000 0.500 1
```

Calculated values
As for the uncorrected formation energy: 3.12 eV/f.u. The crystal system is cubic. As for the raw total energy: -74.6 eV per cell. The energy relative to the lowest polymorph listed for this composition comes out at 0.534 eV/atom.

No. 5
First-principles (PBE) data for a relaxed MnHg3Te crystal, as listed in Alexandria via LeMat-Bulk.

```
data_MnHg3Te
_chemical_formula_sum 'Mn1 Hg3 Te1'
_symmetry_space_group_name_H-M 'P m -3 m'
_symmetry_Int_Tables_number 221
_symmetry_space_group_name_Hall '-P 4 2 3'
_cell_length_a 5.253
_cell_length_b 5.253
_cell_length_c 5.253
_cell_angle_alpha 90.00
_cell_angle_beta 90.00
_cell_angle_gamma 90.00
loop_
_atom_site_label
_atom_site_type_symbol
_atom_site_fract_x
_atom_site_fract_y
_atom_site_fract_z
_atom_site_occupancy
Mn1 Mn 0.000 0.000 0.000 1
Hg1 Hg 0.000 0.000 0.500 1
Te1 Te 0.500 0.500 0.500 1
```

Calculated values
As for the uncorrected formation energy: 2.13 eV/f.u. The crystal system is cubic. As for the raw total energy: -11.1 eV per cell. The energy relative to the lowest polymorph listed for this composition comes out at 0.000 eV/atom.

No. 6
First-principles (PBE) data for a relaxed Mn2HgTe crystal, as listed in Alexandria via LeMat-Bulk.

```
data_Mn2HgTe
_chemical_formula_sum 'Mn2 Hg1 Te1'
_symmetry_space_group_name_H-M 'P 4/m m m'
_symmetry_Int_Tables_number 123
_symmetry_space_group_name_Hall '-P 4 2'
_cell_length_a 4.567
_cell_length_b 4.567
_cell_length_c 3.752
_cell_angle_alpha 90.00
_cell_angle_beta 90.00
_cell_angle_gamma 90.00
loop_
_atom_site_label
_atom_site_type_symbol
_atom_site_fract_x
_atom_site_fract_y
_atom_site_fract_z
_atom_site_occupancy
Mn1 Mn 0.000 0.500 0.000 1
Hg1 Hg 0.000 0.000 0.500 1
Te1 Te 0.500 0.500 0.500 1
```

Calculated values
As for the uncorrected formation energy: 1.45 eV/f.u. The crystal system is tetragonal. As for the raw total energy: -20.3 eV per cell. The energy relative to the lowest polymorph listed for this composition comes out at 0.115 eV/atom.

No. 7
First-principles (PBE) data for a relaxed Mn2HgTe4 crystal, as listed in Alexandria via LeMat-Bulk.

```
data_Mn2HgTe4
_chemical_formula_sum 'Mn8 Hg4 Te16'
_symmetry_space_group_name_H-M 'I m m a'
_symmetry_Int_Tables_number 74
_symmetry_space_group_name_Hall '-I 2b 2'
_cell_length_a 8.359
_cell_length_b 8.372
_cell_length_c 11.759
_cell_angle_alpha 90.00
_cell_angle_beta 90.00
_cell_angle_gamma 90.00
loop_
_atom_site_label
_atom_site_type_symbol
_atom_site_fract_x
_atom_site_fract_y
_atom_site_fract_z
_atom_site_occupancy
Mn1 Mn 0.000 0.000 0.000 1
Mn2 Mn 0.250 0.250 0.250 1
Hg1 Hg 0.000 0.250 0.625 1
Te1 Te 0.000 0.030 0.236 1
Te2 Te 0.220 0.250 0.014 1
```

Calculated values
As for the uncorrected formation energy: -1.06 eV/f.u. The crystal system is orthorhombic. As for the raw total energy: -129.1 eV per cell.

No. 8
First-principles (PBE) data for a relaxed Mn2HgTe crystal, as listed in Alexandria via LeMat-Bulk.

```
data_Mn2HgTe
_chemical_formula_sum 'Mn6 Hg3 Te3'
_symmetry_space_group_name_H-M 'R -3 m'
_symmetry_Int_Tables_number 166
_symmetry_space_group_name_Hall '-R 3 2"'
_cell_length_a 3.8765
_cell_length_b 3.8765
_cell_length_c 20.2594
_cell_angle_alpha 90.00
_cell_angle_beta 90.00
_cell_angle_gamma 120.00
loop_
_atom_site_label
_atom_site_type_symbol
_atom_site_fract_x
_atom_site_fract_y
_atom_site_fract_z
_atom_site_occupancy
Mn1 Mn 0.0000 0.0000 0.2501 1
Hg1 Hg 0.0000 0.0000 0.0000 1
Te1 Te 0.0000 0.0000 0.5000 1
```

Calculated values
As for the uncorrected formation energy: 1.15 eV/f.u. The crystal system is trigonal. As for the raw total energy: -61.9 eV per cell. The energy relative to the lowest polymorph listed for this composition comes out at 0.041 eV/atom.